Compound: SiMoP2
Source: Alexandria via LeMat-Bulk
Functional: PBE-GGA
Structure: optimized geometry

```
SiMoP2
1.0
6.980 -0.005 -0.003
6.259 3.089 -0.003
6.259 1.458 2.723
Mo P Si
1 2 1
Cartesian
14.553 3.390 2.028 Mo
19.479 4.537 2.714 P
4.827 1.124 0.673 P
9.886 2.303 1.378 Si
```

Properties
**Final energy**: -6.714 eV/atom
**Space-group type**: R3m, No. 160
**ΔE_f (raw)**: 0.0548 eV per atom

Compound: SiMoP2
Source: Alexandria via LeMat-Bulk
Functional: PBE-GGA
Structure: optimized geometry

```
SiMoP2
1.0
-1.558 3.864 0.657
-2.734 -0.814 -1.696
-3.192 -1.752 2.736
Mo P Si
1 2 1
Cartesian
-5.707 -0.124 0.735 Mo
-2.272 -0.698 -1.284 P
-1.935 1.454 0.397 P
-3.267 -1.432 0.672 Si
```

Properties
**Final energy**: -6.839 eV/atom
**Space-group type**: Amm2, No. 38
**ΔE_f (raw)**: -0.0707 eV per atom

Compound: SrSiMoP2
Source: Alexandria via LeMat-Bulk
Functional: PBE-GGA
Structure: optimized geometry

```
SrSiMoP2
1.0
4.663 0.000 0.000
0.000 5.944 0.000
0.000 0.000 4.663
Sr Mo Si P
1 1 1 2
Cartesian
0.000 2.972 0.000 Sr
0.000 0.000 0.000 Mo
2.331 2.972 2.331 Si
0.000 0.000 2.331 P
2.331 0.000 0.000 P
```

Properties
**Final energy**: -5.154 eV/atom
**Space-group type**: P4/mmm, No. 123
**ΔE_f (raw)**: 0.5970 eV per atom

Compound: SrSiMoP2
Source: Alexandria via LeMat-Bulk
Functional: PBE-GGA
Structure: optimized geometry

```
SrSiMoP2
1.0
5.338 0.000 0.000
0.000 5.693 0.000
0.000 0.000 5.338
Sr Mo Si P
1 1 1 2
Cartesian
0.000 0.000 0.000 Sr
0.000 2.846 0.000 Mo
2.669 2.846 2.669 Si
0.000 0.000 2.669 P
2.669 0.000 0.000 P
```

Properties
**Final energy**: -3.530 eV/atom
**Space-group type**: P4/mmm, No. 123
**ΔE_f (raw)**: 2.2207 eV per atom

Compound: TlSiMo2P
Source: Alexandria via LeMat-Bulk
Functional: PBE-GGA
Structure: optimized geometry

```
TlSiMo2P
1.0
-1.844 3.978 1.646
0.816 -1.523 4.595
4.234 1.999 -0.089
P Tl Si Mo
1 1 1 2
Cartesian
1.603 2.227 3.076 P
0.408 -0.762 2.298 Tl
0.000 0.000 0.000 Si
2.117 1.000 -0.044 Mo
-0.922 1.989 0.823 Mo
```

Properties
**Final energy**: -5.529 eV/atom
**Space-group type**: P4/mmm, No. 123
**ΔE_f (raw)**: 1.4433 eV per atom

Compound: YSiMoP2
Source: Alexandria via LeMat-Bulk
Functional: PBE-GGA
Structure: optimized geometry

```
YSiMoP2
1.0
-3.173 -2.490 -2.198
3.837 -3.860 -1.166
-1.002 -2.179 3.917
Y P Mo Si
1 2 1 1
Cartesian
1.919 -1.930 -0.583 Y
-0.501 -1.090 1.958 P
-1.586 -1.245 -1.099 P
0.000 0.000 0.000 Mo
-0.169 -4.265 0.277 Si
```

Properties
**Final energy**: -6.294 eV/atom
**Space-group type**: P4/mmm, No. 123
**ΔE_f (raw)**: 0.4132 eV per atom

Compound: SmMoP
Source: Alexandria via LeMat-Bulk
Functional: PBE-GGA
Structure: optimized geometry

```
SmMoP
1.0
3.954 0.000 0.000
0.000 3.954 0.000
0.000 0.000 7.469
P Sm Mo
2 2 2
Cartesian
1.977 0.000 5.358 P
0.000 1.977 2.111 P
1.977 0.000 1.136 Sm
0.000 1.977 6.333 Sm
1.977 1.977 3.735 Mo
0.000 0.000 3.735 Mo
```

Properties
**ΔE_f**: -763.4 meV/atom
**Final energy**: -7.750 eV/atom
**Space-group type**: P4/nmm, No. 129

Compound: SnMo2P
Source: Alexandria via LeMat-Bulk
Functional: PBE-GGA
Structure: optimized geometry

```
SnMo2P
1.0
-3.678 -0.231 -2.588
-3.518 2.683 0.842
-0.986 3.371 -2.818
P Mo Sn
1 2 1
Cartesian
0.000 0.000 0.000 P
-2.046 1.456 -1.141 Mo
-6.137 4.367 -3.423 Mo
-4.091 2.911 -2.282 Sn
```

Properties
**ΔE_f**: 248.1 meV/atom
**Final energy**: -7.521 eV/atom
**Space-group type**: Fm-3m, No. 225

Compound: SnMo2P
Source: Alexandria via LeMat-Bulk
Functional: PBE-GGA
Structure: optimized geometry

```
SnMo2P
1.0
4.072 0.000 0.000
0.000 4.072 0.000
2.036 2.036 9.054
P Mo Sn
2 4 2
Cartesian
2.036 2.036 0.000 P
2.036 4.072 4.527 P
2.769 1.018 2.263 Mo
1.304 3.054 2.263 Mo
3.054 3.340 6.790 Mo
5.090 4.805 6.790 Mo
0.000 0.000 0.000 Sn
4.072 2.036 4.527 Sn
```

Properties
**ΔE_f**: 420.5 meV/atom
**Final energy**: -7.348 eV/atom
**Space-group type**: I-42d, No. 122

Compound: SnMo3P
Source: Alexandria via LeMat-Bulk
Functional: PBE-GGA
Structure: optimized geometry

```
SnMo3P
1.0
-0.667 1.457 -4.193
-2.649 -3.533 -0.806
-3.562 2.355 1.384
P Mo Sn
1 3 1
Cartesian
0.000 0.000 0.000 P
-1.324 -1.767 -0.403 Mo
-1.781 1.177 0.692 Mo
-0.333 0.728 -2.097 Mo
-3.439 0.139 -1.808 Sn
```

Properties
**ΔE_f**: 381.1 meV/atom
**Final energy**: -8.000 eV/atom
**Space-group type**: Pm-3m, No. 221

Compound: SnMoP3
Source: Alexandria via LeMat-Bulk
Functional: PBE-GGA
Structure: optimized geometry

```
SnMoP3
1.0
4.745 0.000 0.000
0.000 4.745 0.000
0.000 0.000 4.745
P Mo Sn
3 1 1
Cartesian
0.000 2.372 0.000 P
0.000 0.000 2.372 P
2.372 0.000 0.000 P
0.000 0.000 0.000 Mo
2.372 2.372 2.372 Sn
```

Properties
**ΔE_f**: 416.8 meV/atom
**Final energy**: -5.796 eV/atom
**Space-group type**: Pm-3m, No. 221

Compound: SnMoP
Source: Alexandria via LeMat-Bulk
Functional: PBE-GGA
Structure: optimized geometry

```
SnMoP
1.0
-1.523 -0.288 2.842
2.870 -3.330 1.201
4.842 5.303 3.134
Mo Sn P
2 2 2
Cartesian
1.209 -2.144 2.275 Mo
3.575 1.600 2.079 Mo
1.065 0.358 0.607 Sn
4.878 0.367 4.496 Sn
5.363 2.838 3.163 P
2.359 -0.166 3.092 P
```

Properties
**ΔE_f**: 3.2 meV/atom
**Final energy**: -6.745 eV/atom
**Space-group type**: Pmn2_1, No. 31